An optimized crystal structure of LaUSO2, computed with PBE.

Cell lengths 3.854, 3.854, 6.738 Å; angles 106.62, 106.62, 90.00 degrees
Site moments in Bohr magnetons follow the coordinates.
Element x y z (fractional)
1 S 0.505 0.505 0.010  -0.03
2 O 0.745 0.245 0.490  -0.03
3 O 0.245 0.745 0.490  -0.03
4 U 0.145 0.145 0.290  2.58
5 La 0.860 0.860 0.720  0.14

## Properties
* SG: No. 107
* raw formation energy: -2.660 eV/atom
* DFT total energy: -43.6 eV/cell

An optimized crystal structure of LaUS2O, computed with PBE.

Cell lengths 3.971, 3.971, 13.758 Å; angles 90.00, 90.00, 90.00 degrees
Site moments in Bohr magnetons follow the coordinates.
Element x y z (fractional)
1 S 0.500 0.000 0.294  -0.05
2 La 0.500 0.000 0.593  0.00
3 O 0.500 0.500 0.500  0.00
4 O 0.000 0.000 0.500  0.00
5 S 0.000 0.500 0.706  -0.05
6 La 0.000 0.500 0.407  0.00
7 U 0.000 0.500 0.892  2.51
8 S 0.000 0.500 0.096  -0.09
9 U 0.500 0.000 0.108  2.51
10 S 0.500 0.000 0.904  -0.09

## Properties
* SG: No. 129
* raw formation energy: -2.256 eV/atom
* DFT total energy: -81.4 eV/cell